Record 1
Entry from Alexandria via LeMat-Bulk: crystalline HfInPd14 at its relaxed geometry (PBE). Values from VASP.

Summary:
Formation energy in eV per atom: -0.3288

Geometry as Quantum ESPRESSO input:
```
&SYSTEM
  ibrav = 0, nat = 16, ntyp = 3
/
ATOMIC_SPECIES
Hf 178.49 Hf.upf
In 114.82 In.upf
Pd 106.42 Pd.upf
ATOMIC_POSITIONS crystal
Hf 0.000 0.000 0.000
In 0.500 0.500 0.000
Pd 0.000 0.000 0.500
Pd 0.000 0.500 0.000
Pd 0.000 0.500 0.500
Pd 0.247 0.247 0.250
Pd 0.247 0.247 0.750
Pd 0.247 0.753 0.250
Pd 0.247 0.753 0.750
Pd 0.500 0.000 0.000
Pd 0.500 0.000 0.500
Pd 0.500 0.500 0.500
Pd 0.753 0.247 0.250
Pd 0.753 0.247 0.750
Pd 0.753 0.753 0.250
Pd 0.753 0.753 0.750
CELL_PARAMETERS angstrom
5.698 0.000 0.000
0.000 5.698 0.000
0.000 0.000 7.829
```


Record 2
Entry from Alexandria via LeMat-Bulk: crystalline PrHoThCd at its relaxed geometry (PBE). Values from VASP.

Summary:
Formation energy in eV per atom: -0.1599
E above lowest polymorph in meV per atom: 0

Geometry as Quantum ESPRESSO input:
```
&SYSTEM
  ibrav = 0, nat = 4, ntyp = 4
/
ATOMIC_SPECIES
Pr 140.91 Pr.upf
Ho 164.93 Ho.upf
Th 232.04 Th.upf
Cd 112.41 Cd.upf
ATOMIC_POSITIONS crystal
Pr 0.000 0.000 0.000
Ho 0.000 0.000 0.465
Th 0.500 0.500 0.726
Cd 0.500 0.500 0.248
CELL_PARAMETERS angstrom
3.641 0.000 0.000
0.000 3.641 0.000
0.000 0.000 9.017
```


Record 3
Entry from Alexandria via LeMat-Bulk: crystalline Th4PaIr5 at its relaxed geometry (PBE). Values from VASP.

Summary:
Formation energy in eV per atom: -0.6726

Geometry as Quantum ESPRESSO input:
```
&SYSTEM
  ibrav = 0, nat = 10, ntyp = 3
/
ATOMIC_SPECIES
Th 232.04 Th.upf
Pa 231.04 Pa.upf
Ir 192.22 Ir.upf
ATOMIC_POSITIONS crystal
Th 0.000 0.000 0.000
Th 0.016 0.602 0.357
Th 0.578 0.578 0.641
Th 0.602 0.016 0.357
Pa 0.324 0.324 0.942
Ir 0.263 0.263 0.405
Ir 0.285 0.920 0.629
Ir 0.316 0.715 0.058
Ir 0.715 0.316 0.058
Ir 0.920 0.285 0.629
CELL_PARAMETERS angstrom
5.237 -4.763 0.000
5.237 4.763 0.000
-1.878 0.000 4.842
```


Record 4
Entry from Alexandria via LeMat-Bulk: crystalline PrNd5Mg6 at its relaxed geometry (PBE). Values from VASP.

Summary:
Formation energy in eV per atom: -0.1133

Geometry as Quantum ESPRESSO input:
```
&SYSTEM
  ibrav = 0, nat = 12, ntyp = 3
/
ATOMIC_SPECIES
Pr 140.91 Pr.upf
Nd 144.24 Nd.upf
Mg 24.30 Mg.upf
ATOMIC_POSITIONS crystal
Pr 0.000 0.000 0.000
Nd 0.000 0.000 0.500
Nd 0.333 0.667 0.000
Nd 0.334 0.666 0.500
Nd 0.666 0.334 0.500
Nd 0.667 0.333 0.000
Mg 0.167 0.833 0.251
Mg 0.167 0.833 0.749
Mg 0.500 0.500 0.251
Mg 0.500 0.500 0.749
Mg 0.833 0.167 0.251
Mg 0.833 0.167 0.749
CELL_PARAMETERS angstrom
2.751 -8.247 0.000
2.751 8.247 0.000
0.000 0.000 7.805
```


| no. | DFT total energy (eV per atom) |
| --- | --- |
| 1 | -5.666 |
| 2 | -4.583 |
| 3 | -9.021 |
| 4 | -3.296 |